# Pm6GeAs5

Crystalline Pm6GeAs5 at its relaxed geometry (PBE, Alexandria).

Computed properties:
The formation energy is -1374 meV per atom. The crystal system is monoclinic.

Unit cell a=7.3313 b=7.3521 c=7.3505 alpha=59.99 beta=80.38 gamma=70.47
Sites, in units of the cell vectors:
Pm: 0.7497 0.0834 0.3363
Pm: 0.2513 0.2524 0.0000
As: 0.0000 0.6664 0.6671
As: 0.5000 0.8329 0.3341
As: 0.5000 0.5000 0.0000
Pm: 0.7497 0.4197 0.6637
Ge: 0.0000 0.0000 0.0000
As: 0.0000 0.3336 0.3329
Pm: 0.2503 0.9166 0.6637
Pm: 0.7487 0.7476 0.0000
As: 0.5000 0.1671 0.6659
Pm: 0.2503 0.5803 0.3363